Entry 1:
Below is a relaxed structure of AcSm2Ho2, with properties calculated at the GGA-PBE level.

energy above the lowest structure with this stoichiometry: 0.377 eV/atom
M_tot: 0.01 μB per cell
total DFT energy (no corrections): -164.67 eV/cell

Cell: 3.5984 17.6188 23.4761 Å, 90.00 90.00 90.00°
Closest atoms and distances in Å follow each position.
Space group Fddd (No. 70, origin choice 2)
Unique sites:
Ac1 0.1250 0.1250 0.1250 x8  4 Sm 3.52, 2 Ac 3.60, 4 Ho 3.70
Sm1 0.1250 0.2967 0.6250 x16  4 Sm 3.29-3.60, 2 Ho 3.33, 2 Ac 3.52
Ho1 0.0000 0.0000 0.0000 x16  2 Sm 3.33, 2 Ho 3.60, 2 Ac 3.70

---

Entry 2:
Below is a relaxed structure of Ac2SmHo, with properties calculated at the GGA-PBE level.

energy above the lowest structure with this stoichiometry: 0.062 eV/atom
M_tot: 0.00 μB per cell
total DFT energy (no corrections): -68.41 eV/cell

Cell: 8.5006 8.5006 8.5006 Å, 90.00 90.00 90.00°
Closest atoms and distances in Å follow each position.
Space group Fm-3m (No. 225)
Unique sites:
Ac1 0.2500 0.2500 0.2500 x8  4 Ho 3.68, 4 Sm 3.68
Sm1 0.0000 0.0000 0.0000 x4  8 Ac 3.68
Ho1 0.0000 0.0000 0.5000 x4  8 Ac 3.68

---

Entry 3:
Below is a relaxed structure of Ac3SmHo2, with properties calculated at the GGA-PBE level.

M_tot: 0.00 μB per cell
total DFT energy (no corrections): -205.96 eV/cell

Cell: 7.5367 10.7580 22.6410 Å, 90.00 90.00 90.00°
Closest atoms and distances in Å follow each position.
Space group Fddd (No. 70, origin choice 2)
Unique sites:
Ac1 0.1250 0.1250 0.1250 x8  6 Ho 3.77-3.79, 2 Sm 3.77, 4 Ac 3.78
Ac2 0.1250 0.1250 0.4579 x16  5 Ho 3.77-3.79, 4 Ac 3.78-3.80, 3 Sm 3.78
Sm1 0.1250 0.1250 0.6250 x8  8 Ac 3.77-3.78, 4 Ho 3.79
Ho1 0.1250 0.1250 0.2913 x16  8 Ac 3.77-3.79, 2 Ho 3.78, 2 Sm 3.79